1.
GGA-PBE BeSe2Cl, relaxed; space-group type = R3m (160)
1.0
-6.703 5.388 1.867
-8.270 3.007 0.022
-7.745 2.512 3.339
Cl Be Se
1 1 2
direct
0.792 0.792 0.792
0.507 0.507 0.507
0.971 0.971 0.971
0.230 0.230 0.230

2.
GGA-PBE BeSe2Cl, relaxed; space-group type = R-3m (166)
1.0
1.801 0.000 10.421
-0.901 1.560 10.421
-0.901 -1.560 10.421
Se Cl Be
2 1 1
direct
0.935 0.935 0.935
0.065 0.065 0.065
0.500 0.500 0.500
0.000 0.000 0.000

Values for ΔE to the lowest computed polymorph, eV/f.u., ordered as above
1.35, 3.00